1.
## Ba3Ag8Pb (PBE)

Data for crystalline Ba3Ag8Pb at its relaxed geometry.

Values from the calculation:
* electronic total energy: -2.835 eV per atom
* mass density: 8.01 g/cm³
* energy of formation: -0.144 eV per atom

Unit cell a=5.958 b=5.958 c=10.571 alpha=73.63 beta=73.63 gamma=60.00
Sites, in units of the cell vectors:
Ba 0.376 0.376 0.871
Ba 0.994 0.994 0.017
Ba 0.505 0.505 0.485
Ag 0.942 0.435 0.189
Ag 0.438 0.939 0.685
Ag 0.435 0.435 0.189
Ag 0.939 0.939 0.685
Ag 0.189 0.189 0.434
Ag 0.688 0.688 0.937
Ag 0.435 0.942 0.189
Ag 0.939 0.438 0.685
Pb 0.872 0.872 0.384

---

2.
## Ba3Ag6Pb5 (PBE)

Data for crystalline Ba3Ag6Pb5 at its relaxed geometry.

Values from the calculation:
* electronic total energy: -3.216 eV per atom
* mass density: 8.63 g/cm³
* energy of formation: -0.257 eV per atom

Unit cell a=5.008 b=10.945 c=14.710 alpha=90.00 beta=90.00 gamma=90.00
Sites, in units of the cell vectors:
Ba 0.000 0.247 0.686
Ba 0.500 0.753 0.186
Ba 0.500 0.753 0.814
Ba 0.000 0.238 0.000
Ba 0.500 0.762 0.500
Ba 0.000 0.247 0.314
Ag 0.000 0.986 0.853
Ag 0.500 0.014 0.647
Ag 0.500 0.392 0.828
Ag 0.500 0.512 0.000
Ag 0.000 0.488 0.500
Ag 0.000 0.608 0.672
Ag 0.000 0.608 0.328
Ag 0.500 0.967 0.000
Ag 0.000 0.986 0.147
Ag 0.500 0.392 0.172
Ag 0.000 0.033 0.500
Ag 0.500 0.014 0.353
Pb 0.000 0.529 0.877
Pb 0.000 0.880 0.666
Pb 0.000 0.799 0.000
Pb 0.500 0.471 0.623
Pb 0.500 0.201 0.500
Pb 0.000 0.529 0.123
Pb 0.500 0.471 0.377
Pb 0.000 0.880 0.334
Pb 0.500 0.120 0.834
Pb 0.500 0.120 0.166

---

3.
## BaAgPb4 (PBE)

Data for crystalline BaAgPb4 at its relaxed geometry.

Values from the calculation:
* electronic total energy: -3.491 eV per atom
* mass density: 9.43 g/cm³
* energy of formation: -0.223 eV per atom
* energy above the lowest structure with this stoichiometry: 0.000 eV/atom

Unit cell a=5.072 b=7.698 c=10.019 alpha=90.00 beta=104.66 gamma=90.00
Sites, in units of the cell vectors:
Ba 0.122 0.250 0.245
Ba 0.878 0.750 0.755
Ag 0.218 0.750 0.435
Ag 0.782 0.250 0.565
Pb 0.500 0.500 0.000
Pb 0.500 0.000 0.000
Pb 0.682 0.955 0.365
Pb 0.318 0.045 0.635
Pb 0.318 0.455 0.635
Pb 0.682 0.545 0.365
Pb 0.066 0.750 0.132
Pb 0.934 0.250 0.868

---

4.
## BaAgPb (PBE)

Data for crystalline BaAgPb at its relaxed geometry.

Values from the calculation:
* electronic total energy: -3.230 eV per atom
* mass density: 7.64 g/cm³
* energy of formation: -0.402 eV per atom

Unit cell a=5.207 b=5.207 c=4.190 alpha=90.00 beta=90.00 gamma=120.00
Sites, in units of the cell vectors:
Pb 0.333 0.667 0.833
Ba 0.667 0.333 0.333
Ag 0.000 0.000 0.834

---

5.
## BaAgPb4 (PBE)

Data for crystalline BaAgPb4 at its relaxed geometry.

Values from the calculation:
* electronic total energy: -3.391 eV per atom
* mass density: 9.31 g/cm³
* energy of formation: -0.123 eV per atom
* energy above the lowest structure with this stoichiometry: 0.099 eV/atom

Unit cell a=6.024 b=5.975 c=11.459 alpha=105.14 beta=105.14 gamma=89.96
Sites, in units of the cell vectors:
Ba 0.753 0.750 0.000
Ba 0.247 0.250 0.000
Ag 0.500 0.000 0.500
Ag 0.000 0.500 0.500
Pb 0.635 0.141 0.781
Pb 0.852 0.362 0.219
Pb 0.365 0.859 0.219
Pb 0.148 0.638 0.781
Pb 0.068 0.071 0.647
Pb 0.420 0.427 0.353
Pb 0.932 0.929 0.353
Pb 0.580 0.573 0.647

---

6.
## BaAg2Pb (PBE)

Data for crystalline BaAg2Pb at its relaxed geometry.

Values from the calculation:
* electronic total energy: -2.921 eV per atom
* mass density: 6.50 g/cm³
* energy of formation: -0.088 eV per atom

Unit cell a=5.428 b=5.428 c=10.445 alpha=74.94 beta=74.94 gamma=90.00
Sites, in units of the cell vectors:
Pb 0.000 0.000 0.000
Pb 0.750 0.250 0.500
Ba 0.500 0.500 0.000
Ba 0.250 0.750 0.500
Ag 0.823 0.125 0.250
Ag 0.927 0.625 0.250
Ag 0.375 0.177 0.750
Ag 0.875 0.073 0.750

---

7.
## Ba2AgPb (PBE)

Data for crystalline Ba2AgPb at its relaxed geometry.

Values from the calculation:
* electronic total energy: -2.760 eV per atom
* mass density: 7.07 g/cm³
* energy of formation: -0.158 eV per atom

Unit cell a=5.808 b=5.808 c=5.808 alpha=60.00 beta=60.00 gamma=60.00
Sites, in units of the cell vectors:
Pb 0.750 0.750 0.750
Ba 0.000 0.000 0.000
Ba 0.250 0.250 0.250
Ag 0.500 0.500 0.500

---

8.
## BaAg8Pb3 (PBE)

Data for crystalline BaAg8Pb3 at its relaxed geometry.

Values from the calculation:
* electronic total energy: -3.041 eV per atom
* mass density: 9.67 g/cm³
* energy of formation: -0.053 eV per atom

Unit cell a=5.842 b=5.842 c=9.419 alpha=90.00 beta=90.00 gamma=120.00
Sites, in units of the cell vectors:
Ba 0.000 0.000 0.570
Ag 0.333 0.667 0.498
Ag 0.333 0.667 0.999
Ag 0.501 0.003 0.756
Ag 0.501 0.499 0.756
Ag 0.997 0.499 0.756
Ag 0.166 0.332 0.245
Ag 0.166 0.834 0.245
Ag 0.668 0.834 0.245
Pb 0.667 0.333 0.421
Pb 0.667 0.333 0.049
Pb 0.000 0.000 0.960

---

9.
## BaAg3Pb2 (PBE)

Data for crystalline BaAg3Pb2 at its relaxed geometry.

Values from the calculation:
* electronic total energy: -3.136 eV per atom
* mass density: 8.57 g/cm³
* energy of formation: -0.153 eV per atom

Unit cell a=4.885 b=9.611 c=8.311 alpha=115.06 beta=90.00 gamma=104.72
Sites, in units of the cell vectors:
Ba 0.850 0.701 0.912
Ba 0.150 0.299 0.088
Ag 0.300 0.600 0.528
Ag 0.990 0.980 0.653
Ag 0.586 0.172 0.645
Ag 0.414 0.828 0.355
Ag 0.010 0.020 0.347
Ag 0.700 0.400 0.472
Pb 0.467 0.934 0.794
Pb 0.533 0.066 0.206
Pb 0.820 0.640 0.327
Pb 0.180 0.360 0.673

---

10.
## Ba2AgPb (PBE)

Data for crystalline Ba2AgPb at its relaxed geometry.

Values from the calculation:
* electronic total energy: -2.717 eV per atom
* mass density: 6.01 g/cm³
* energy of formation: -0.116 eV per atom

Unit cell a=9.303 b=9.303 c=7.581 alpha=52.15 beta=52.15 gamma=90.00
Sites, in units of the cell vectors:
Pb 0.000 0.000 0.000
Pb 0.750 0.250 0.500
Ba 0.601 0.125 0.250
Ba 0.149 0.625 0.250
Ba 0.375 0.399 0.750
Ba 0.875 0.851 0.750
Ag 0.500 0.500 0.000
Ag 0.250 0.750 0.500

---

11.
## BaAg2Pb (PBE)

Data for crystalline BaAg2Pb at its relaxed geometry.

Values from the calculation:
* electronic total energy: -3.063 eV per atom
* mass density: 7.61 g/cm³
* energy of formation: -0.230 eV per atom

Unit cell a=5.031 b=5.031 c=6.287 alpha=66.42 beta=66.42 gamma=60.08
Sites, in units of the cell vectors:
Pb 0.250 0.250 0.250
Ba 0.750 0.750 0.750
Ag 0.955 0.955 0.134
Ag 0.545 0.545 0.366

---

12.
## BaAg2Pb (PBE)

Data for crystalline BaAg2Pb at its relaxed geometry.

Values from the calculation:
* electronic total energy: -2.913 eV per atom
* mass density: 8.28 g/cm³
* energy of formation: -0.080 eV per atom

Unit cell a=3.755 b=3.753 c=7.974 alpha=90.00 beta=90.00 gamma=90.00
Sites, in units of the cell vectors:
Pb 0.500 0.500 0.814
Ba 0.000 0.000 0.478
Ag 0.000 0.000 0.019
Ag 0.500 0.500 0.189

---

13.
## BaAg2Pb (PBE)

Data for crystalline BaAg2Pb at its relaxed geometry.

Values from the calculation:
* electronic total energy: -2.905 eV per atom
* mass density: 7.96 g/cm³
* energy of formation: -0.071 eV per atom

Unit cell a=3.997 b=4.002 c=7.309 alpha=90.00 beta=90.00 gamma=90.00
Sites, in units of the cell vectors:
Pb 0.500 0.500 0.750
Ba 0.500 0.500 0.250
Ag 0.000 0.000 0.955
Ag 0.000 0.000 0.545

---

14.
## Ba2AgPb (PBE)

Data for crystalline Ba2AgPb at its relaxed geometry.

Values from the calculation:
* electronic total energy: -2.993 eV per atom
* mass density: 6.11 g/cm³
* energy of formation: -0.391 eV per atom

Unit cell a=5.184 b=6.848 c=9.601 alpha=109.79 beta=90.00 gamma=90.00
Sites, in units of the cell vectors:
Ba 0.750 0.225 0.427
Ba 0.250 0.775 0.573
Ba 0.250 0.781 0.064
Ba 0.750 0.219 0.936
Ag 0.250 0.384 0.218
Ag 0.750 0.616 0.782
Pb 0.750 0.654 0.284
Pb 0.250 0.346 0.716

---

15.
## Ba2AgPb (PBE)

Data for crystalline Ba2AgPb at its relaxed geometry.

Values from the calculation:
* electronic total energy: -2.846 eV per atom
* mass density: 6.85 g/cm³
* energy of formation: -0.244 eV per atom

Unit cell a=6.533 b=6.533 c=6.533 alpha=133.76 beta=133.76 gamma=67.46
Sites, in units of the cell vectors:
Pb 0.500 0.500 0.000
Ba 0.000 0.000 0.000
Ba 0.250 0.750 0.500
Ag 0.750 0.250 0.500

---

16.
## Ba3Ag2Pb7 (PBE)

Data for crystalline Ba3Ag2Pb7 at its relaxed geometry.

Values from the calculation:
* electronic total energy: -3.450 eV per atom
* mass density: 8.58 g/cm³
* energy of formation: -0.331 eV per atom

Unit cell a=5.117 b=5.053 c=15.765 alpha=99.25 beta=90.00 gamma=90.00
Sites, in units of the cell vectors:
Ba 0.500 0.500 0.000
Ba 0.000 0.181 0.361
Ba 0.000 0.819 0.639
Ag 0.500 0.632 0.264
Ag 0.500 0.368 0.736
Pb 0.500 0.723 0.446
Pb 0.500 0.277 0.554
Pb 0.000 0.583 0.166
Pb 0.000 0.000 0.000
Pb 0.000 0.417 0.834
Pb 0.500 0.916 0.834
Pb 0.500 0.084 0.166

---

17.
## Ba2AgPb (PBE)

Data for crystalline Ba2AgPb at its relaxed geometry.

Values from the calculation:
* electronic total energy: -2.849 eV per atom
* mass density: 5.54 g/cm³
* energy of formation: -0.247 eV per atom

Unit cell a=4.438 b=5.610 c=7.103 alpha=90.00 beta=90.00 gamma=90.00
Sites, in units of the cell vectors:
Pb 0.000 0.000 0.375
Ba 0.000 0.000 0.875
Ba 0.500 0.500 0.375
Ag 0.500 0.500 0.876

---

18.
## BaAgPb (PBE)

Data for crystalline BaAgPb at its relaxed geometry.

Values from the calculation:
* electronic total energy: -2.970 eV per atom
* mass density: 7.56 g/cm³
* energy of formation: -0.143 eV per atom

Unit cell a=5.912 b=5.912 c=5.912 alpha=142.29 beta=127.08 gamma=66.79
Sites, in units of the cell vectors:
Pb 0.677 0.677 0.000
Ba 0.335 0.335 0.000
Ag 0.987 0.987 0.000

---

19.
## Ba12Ag6Pb (PBE)

Data for crystalline Ba12Ag6Pb at its relaxed geometry.

Values from the calculation:
* electronic total energy: -2.537 eV per atom
* mass density: 5.05 g/cm³
* energy of formation: -0.227 eV per atom

Unit cell a=10.222 b=10.222 c=10.222 alpha=109.47 beta=109.47 gamma=109.47
Sites, in units of the cell vectors:
Ba 0.295 0.113 0.818
Ba 0.295 0.478 0.182
Ba 0.705 0.522 0.818
Ba 0.705 0.887 0.182
Ba 0.113 0.818 0.295
Ba 0.478 0.182 0.295
Ba 0.522 0.818 0.705
Ba 0.887 0.182 0.705
Ba 0.818 0.295 0.113
Ba 0.182 0.295 0.478
Ba 0.818 0.705 0.522
Ba 0.182 0.705 0.887
Ag 0.379 0.500 0.879
Ag 0.621 0.500 0.121
Ag 0.500 0.879 0.379
Ag 0.500 0.121 0.621
Ag 0.879 0.379 0.500
Ag 0.121 0.621 0.500
Pb 0.000 0.000 0.000

---

20.
## BaAgPb (PBE)

Data for crystalline BaAgPb at its relaxed geometry.

Values from the calculation:
* electronic total energy: -3.247 eV per atom
* mass density: 7.75 g/cm³
* energy of formation: -0.419 eV per atom

Unit cell a=5.212 b=6.640 c=6.640 alpha=84.73 beta=66.89 gamma=66.89
Sites, in units of the cell vectors:
Ba 0.000 0.613 0.387
Ba 0.500 0.178 0.822
Ag 0.217 0.763 0.802
Ag 0.783 0.198 0.237
Pb 0.300 0.014 0.386
Pb 0.700 0.614 0.986

---

21.
## BaAg2Pb2 (PBE)

Data for crystalline BaAg2Pb2 at its relaxed geometry.

Values from the calculation:
* electronic total energy: -3.115 eV per atom
* mass density: 9.03 g/cm³
* energy of formation: -0.107 eV per atom

Unit cell a=8.889 b=8.889 c=3.574 alpha=90.00 beta=90.00 gamma=90.00
Sites, in units of the cell vectors:
Pb 0.173 0.673 0.500
Pb 0.673 0.827 0.500
Pb 0.827 0.327 0.500
Pb 0.327 0.173 0.500
Ba 0.000 0.000 0.000
Ba 0.500 0.500 0.000
Ag 0.383 0.883 0.000
Ag 0.883 0.617 0.000
Ag 0.617 0.117 0.000
Ag 0.117 0.383 0.000

---

22.
## BaAg6Pb12 (PBE)

Data for crystalline BaAg6Pb12 at its relaxed geometry.

Values from the calculation:
* electronic total energy: -3.287 eV per atom
* mass density: 10.00 g/cm³
* energy of formation: 0.057 eV per atom

Unit cell a=8.902 b=8.902 c=8.902 alpha=109.47 beta=109.47 gamma=109.47
Sites, in units of the cell vectors:
Ba 0.000 0.000 0.000
Ag 0.367 0.500 0.867
Ag 0.633 0.500 0.133
Ag 0.500 0.867 0.367
Ag 0.500 0.133 0.633
Ag 0.867 0.367 0.500
Ag 0.133 0.633 0.500
Pb 0.283 0.088 0.805
Pb 0.283 0.478 0.195
Pb 0.717 0.522 0.805
Pb 0.717 0.912 0.195
Pb 0.088 0.805 0.283
Pb 0.478 0.195 0.283
Pb 0.522 0.805 0.717
Pb 0.912 0.195 0.717
Pb 0.805 0.283 0.088
Pb 0.195 0.283 0.478
Pb 0.805 0.717 0.522
Pb 0.195 0.717 0.912

---

23.
## Ba4Ag3Pb (PBE)

Data for crystalline Ba4Ag3Pb at its relaxed geometry.

Values from the calculation:
* electronic total energy: -2.818 eV per atom
* mass density: 6.11 g/cm³
* energy of formation: -0.323 eV per atom

Unit cell a=5.940 b=5.940 c=9.319 alpha=108.58 beta=108.59 gamma=90.00
Sites, in units of the cell vectors:
Pb 0.500 0.000 0.000
Ba 0.375 0.375 0.750
Ba 0.625 0.625 0.250
Ba 0.125 0.125 0.250
Ba 0.875 0.875 0.750
Ag 0.000 0.500 0.000
Ag 0.750 0.250 0.499
Ag 0.250 0.750 0.501